This record from Alexandria via LeMat-Bulk describes Rb3PaBr8 after structural relaxation. The functional is PBE-GGA.

Geometry as POSCAR:
```
Rb3PaBr8
1.0
7.786 0.000 0.000
0.000 7.786 0.000
0.000 0.000 7.786
Rb Pa Br
3 1 8
direct
0.500 0.500 0.000 Rb
0.500 0.000 0.500 Rb
0.000 0.500 0.500 Rb
0.000 0.000 0.000 Pa
0.217 0.217 0.783 Br
0.217 0.783 0.217 Br
0.783 0.217 0.217 Br
0.783 0.783 0.783 Br
0.783 0.783 0.217 Br
0.783 0.217 0.783 Br
0.217 0.783 0.783 Br
0.217 0.217 0.217 Br
```

Summary:
DFT total energy: -44.03 eV per formula unit
M_tot: 0.0 Bohr magnetons per cell
Uncorrected formation energy: -1.52 eV/atom